A plane-wave DFT calculation with PBE was carried out for a geometry-optimized Na2NpS4 structure.

Properties
Formation energy (no corrections) ... -1.0073 eV/atom

Cell: 7.906 8.086 11.922 Å, 90.00 90.00 90.00°
Space group Imma (No. 74)
One atom of each set of equivalent atoms:
Na (0.000, 0.250, 0.142) x4
Na (0.250, 0.250, 0.750) x4
Np (0.000, 0.000, 0.500) x4
S (0.000, 0.005, 0.705) x8
S (0.212, 0.250, 0.500) x8